VASP calculation (PBE-GGA) on a relaxed Nd3Se2N crystal.

Lattice parameters (Å, degrees): 3.8832 3.8832 21.5944 90.00 90.00 120.00
Space group P6_3/mmc (No. 194)
One atom of each set of equivalent atoms:
Nd 0.0000 0.0000 0.0000 [2 per cell]
Nd 0.3333 0.6667 0.1788 [4 per cell]
Se 0.3333 0.6667 0.5895 [4 per cell]
N 0.0000 0.0000 0.2500 [2 per cell]

Theoretical density in g/cm3: 7.12
ΔE_f (raw) in meV/atom: -1454